[1]
VASP calculation (PBE-GGA) on crystalline DyEr4Pt2 at its relaxed geometry.

Values from the calculation:
The formation energy is -722 meV/atom. The spin magnetization comes out at 0.00 μB/f.u.

```
DyEr4Pt2
1.0
6.3184 0.0000 0.0000
0.0000 7.1252 -2.9935
0.0000 0.0267 8.0140
Er Pt Dy
8 4 2
direct
0.5045 0.4098 0.7683
0.2500 0.2490 0.3456
0.7500 0.7510 0.6544
0.9955 0.4098 0.7683
0.7500 0.0169 0.3876
0.0045 0.5902 0.2317
0.4955 0.5902 0.2317
0.2500 0.9831 0.6124
0.2500 0.2479 0.9909
0.7500 0.7521 0.0091
0.7500 0.3778 0.4139
0.2500 0.6222 0.5861
0.2500 0.8474 0.9745
0.7500 0.1526 0.0255
```

=====

[2]
VASP calculation (PBE-GGA) on crystalline Dy3ErPt3 at its relaxed geometry.

Values from the calculation:
The formation energy is -1027 meV/atom. The spin magnetization comes out at 0.00 μB/f.u.

```
Dy3ErPt3
1.0
-3.2050 2.9352 5.4140
-4.3903 -5.3076 -0.8679
4.0201 -3.8928 4.3493
Dy Er Pt
6 2 6
direct
0.6651 0.6651 0.3790
0.1759 0.8241 0.5000
0.8241 0.1759 0.5000
0.2484 0.7516 0.0000
0.7516 0.2484 0.0000
0.3349 0.3349 0.6210
0.7411 0.7411 0.8847
0.2589 0.2589 0.1153
0.9399 0.9399 0.1935
0.9796 0.5046 0.7184
0.5046 0.9796 0.7184
0.0204 0.4954 0.2816
0.4954 0.0204 0.2816
0.0601 0.0601 0.8065
```

=====

[3]
VASP calculation (PBE-GGA) on crystalline DyEr5Pt6 at its relaxed geometry.

Values from the calculation:
The formation energy is -1260 meV/atom. The spin magnetization comes out at 0.00 μB/f.u.

```
DyEr5Pt6
1.0
4.7283 -0.0067 -1.3271
-3.5425 6.8587 -3.5532
-0.1881 -0.9949 8.4374
Er Pt Dy
5 6 1
direct
0.5000 0.1667 0.8333
0.0000 0.3332 0.6668
0.5000 0.5000 0.5000
0.0000 0.6668 0.3332
0.5000 0.8333 0.1667
0.2511 0.0832 0.4188
0.7489 0.5812 0.9168
0.7525 0.2526 0.2526
0.2475 0.7474 0.7474
0.2511 0.4188 0.0832
0.7489 0.9168 0.5812
0.0000 0.0000 0.0000
```

=====

[4]
VASP calculation (PBE-GGA) on crystalline DyEr3Pt2 at its relaxed geometry.

Values from the calculation:
The formation energy is -981 meV/atom. The spin magnetization comes out at 0.00 μB/f.u. The calculation puts the relative energy among the computed polymorphs at 0.00 eV per formula unit.

```
DyEr3Pt2
1.0
4.7449 0.0000 0.0000
0.0000 7.1066 0.0000
0.0000 0.0000 8.7339
Dy Er Pt
2 6 4
direct
0.5000 0.5099 0.5822
0.5000 0.0099 0.4178
0.0000 0.4901 0.9180
0.0000 0.9901 0.0820
0.5000 0.6439 0.1693
0.5000 0.1439 0.8307
0.0000 0.3562 0.3292
0.0000 0.8562 0.6708
0.5000 0.7422 0.8446
0.5000 0.2422 0.1554
0.0000 0.2577 0.6573
0.0000 0.7577 0.3427
```

=====

Please write out number 4 again, unchanged.
VASP calculation (PBE-GGA) on crystalline DyEr3Pt2 at its relaxed geometry.

Values from the calculation:
The formation energy is -981 meV/atom. The spin magnetization comes out at 0.00 μB/f.u. The calculation puts the relative energy among the computed polymorphs at 0.00 eV per formula unit.

```
DyEr3Pt2
1.0
4.7449 0.0000 0.0000
0.0000 7.1066 0.0000
0.0000 0.0000 8.7339
Dy Er Pt
2 6 4
direct
0.5000 0.5099 0.5822
0.5000 0.0099 0.4178
0.0000 0.4901 0.9180
0.0000 0.9901 0.0820
0.5000 0.6439 0.1693
0.5000 0.1439 0.8307
0.0000 0.3562 0.3292
0.0000 0.8562 0.6708
0.5000 0.7422 0.8446
0.5000 0.2422 0.1554
0.0000 0.2577 0.6573
0.0000 0.7577 0.3427
```